Entry 1:
Material: Nd4In5Ag2
Method: DFT, PBE
State: relaxed

For the calculated total energy, the calculation gives -3.885 eV/atom.

The space group is P2/m (No. 10) and the conventional cell measures 7.968, 3.607 and 10.332 Å, with angles of 90.00, 94.25 and 90.00 degrees. The distinct sites, in fractional coordinates, are Nd at (0.168, 0.000, 0.380), Nd at (0.267, 0.000, 0.943), In at (0.191, 0.500, 0.664), In at (0.440, 0.500, 0.201), In at (0.500, 0.500, 0.500) and Ag at (0.062, 0.500, 0.134).

---

Entry 2:
Material: Nd2InAg
Method: DFT, PBE
State: relaxed

For the calculated total energy, the calculation gives -4.148 eV/atom.

The space group is Fm-3m (No. 225) and the conventional cell measures 7.666, 7.666 and 7.666 Å, with angles of 90.00, 90.00 and 90.00 degrees. The distinct sites, in fractional coordinates, are Nd at (0.250, 0.250, 0.250), In at (0.000, 0.000, 0.000) and Ag at (0.000, 0.000, 0.500).

---

Entry 3:
Material: Nd4In3Ag
Method: DFT, PBE
State: relaxed

For the calculated total energy, the calculation gives -4.202 eV/atom.

The space group is P4/mmm (No. 123) and the conventional cell measures 3.691, 3.691 and 16.690 Å, with angles of 90.00, 90.00 and 90.00 degrees. The distinct sites, in fractional coordinates, are Nd at (0.000, 0.000, 0.117), Nd at (0.000, 0.000, 0.372), In at (0.500, 0.500, 0.242), In at (0.500, 0.500, 0.500) and Ag at (0.500, 0.500, 0.000).

---

Entry 4:
Material: Nd3In4Ag4
Method: DFT, PBE
State: relaxed

Its distance to the lowest polymorph of the same formula is 0.31 kcal/mol of atoms.

The space group is Immm (No. 71) and the conventional cell measures 4.640, 7.489 and 15.760 Å, with angles of 90.00, 90.00 and 90.00 degrees. The distinct sites, in fractional coordinates, are Nd at (0.000, 0.000, 0.000), Nd at (0.000, 0.500, 0.126), In at (0.000, 0.299, 0.331), Ag at (0.000, 0.000, 0.215) and Ag at (0.000, 0.190, 0.500).

---

Entry 5:
Material: Nd2InAg3
Method: DFT, PBE
State: relaxed

Its distance to the lowest polymorph of the same formula is 0.00 kcal/mol of atoms.

The space group is Fmmm (No. 69) and the conventional cell measures 6.869, 9.858 and 17.205 Å, with angles of 90.00, 90.00 and 90.00 degrees. The distinct sites, in fractional coordinates, are Nd at (0.243, 0.000, 0.000), Nd at (0.250, 0.250, 0.250), In at (0.000, 0.000, 0.334), Ag at (0.000, 0.000, 0.167) and Ag at (0.000, 0.250, 0.083).

---

Entry 6:
Material: Nd5InAg4
Method: DFT, PBE
State: relaxed

For the calculated total energy, the calculation gives -4.103 eV/atom.

The space group is P4/mmm (No. 123) and the conventional cell measures 3.746, 3.746 and 19.234 Å, with angles of 90.00, 90.00 and 90.00 degrees. The distinct sites, in fractional coordinates, are Nd at (0.000, 0.000, 0.000), Nd at (0.000, 0.000, 0.197), Nd at (0.000, 0.000, 0.394), In at (0.500, 0.500, 0.500), Ag at (0.500, 0.500, 0.098) and Ag at (0.500, 0.500, 0.294).

---

Entry 7:
Material: NdIn5Ag
Method: DFT, PBE
State: relaxed

For the calculated total energy, the calculation gives -3.294 eV/atom.

The space group is P4/mmm (No. 123) and the conventional cell measures 4.856, 4.856 and 7.665 Å, with angles of 90.00, 90.00 and 90.00 degrees. The distinct sites, in fractional coordinates, are Nd at (0.000, 0.000, 0.000), In at (0.000, 0.500, 0.293), In at (0.500, 0.500, 0.000) and Ag at (0.000, 0.000, 0.500).

---

Entry 8:
Material: NdInAg3
Method: DFT, PBE
State: relaxed

For the calculated total energy, the calculation gives -3.038 eV/atom.

The space group is I-4m2 (No. 119) and the conventional cell measures 5.163, 5.163 and 22.529 Å, with angles of 90.00, 90.00 and 90.00 degrees. The distinct sites, in fractional coordinates, are Nd at (0.000, 0.000, 0.000), Nd at (0.000, 0.500, 0.250), In at (0.000, 0.000, 0.346), Ag at (0.000, 0.249, 0.124) and Ag at (0.000, 0.500, 0.590).

---

Entry 9:
Material: Nd6In2Ag
Method: DFT, PBE
State: relaxed

For the calculated total energy, the calculation gives -4.360 eV/atom.

The space group is P4_2/mnm (No. 136) and the conventional cell measures 10.309, 10.309 and 5.204 Å, with angles of 90.00, 90.00 and 90.00 degrees. The distinct sites, in fractional coordinates, are Nd at (0.019, 0.319, 0.000), Nd at (0.125, 0.875, 0.500), In at (0.199, 0.199, 0.500) and Ag at (0.000, 0.000, 0.000).

---

Entry 10:
Material: Nd6InAg
Method: DFT, PBE
State: relaxed

Its distance to the lowest polymorph of the same formula is 1.31 kcal/mol of atoms.

The space group is P-1 (No. 2) and the conventional cell measures 6.304, 6.307 and 6.308 Å, with angles of 93.37, 93.45 and 93.49 degrees. The distinct sites, in fractional coordinates, are Nd at (0.026, 0.253, 0.051), Nd at (0.248, 0.949, 0.472), Nd at (0.449, 0.473, 0.747), In at (0.500, 0.000, 0.000) and Ag at (0.000, 0.500, 0.500).

---

Entry 11:
Material: Nd2In3Ag2
Method: DFT, PBE
State: relaxed

For the calculated total energy, the calculation gives -3.690 eV/atom.

The space group is Cmcm (No. 63) and the conventional cell measures 4.578, 20.381 and 7.779 Å, with angles of 90.00, 90.00 and 90.00 degrees. The distinct sites, in fractional coordinates, are Nd at (0.000, 0.051, 0.250), Nd at (0.000, 0.159, 0.750), In at (0.000, 0.223, 0.250), In at (0.000, 0.436, 0.067) and Ag at (0.000, 0.308, 0.554).

---

Entry 12:
Material: Nd2InAg
Method: DFT, PBE
State: relaxed

For the calculated total energy, the calculation gives -4.155 eV/atom.

The space group is P4/mmm (No. 123) and the conventional cell measures 3.731, 3.731 and 8.000 Å, with angles of 90.00, 90.00 and 90.00 degrees. The distinct sites, in fractional coordinates, are Nd at (0.000, 0.000, 0.239), In at (0.500, 0.500, 0.500) and Ag at (0.500, 0.500, 0.000).

---

Entry 13:
Material: Nd4In2Ag
Method: DFT, PBE
State: relaxed

Its distance to the lowest polymorph of the same formula is 0.00 kcal/mol of atoms.

The space group is R-3m (No. 166, hexagonal axes) and the conventional cell measures 5.3975, 5.3975 and 26.1166 Å, with angles of 90.00, 90.00 and 120.00 degrees. The distinct sites, in fractional coordinates, are Nd at (0.0000, 0.0000, 0.1222), Nd at (0.0000, 0.0000, 0.3734), In at (0.0000, 0.0000, 0.2493) and Ag at (0.0000, 0.0000, 0.5000).

---

Entry 14:
Material: Nd8InAg2
Method: DFT, PBE
State: relaxed

Its distance to the lowest polymorph of the same formula is 0.00 kcal/mol of atoms.

The space group is C2/m (No. 12) and the conventional cell measures 16.688, 5.434 and 8.647 Å, with angles of 90.00, 119.76 and 90.00 degrees. The distinct sites, in fractional coordinates, are Nd at (0.069, 0.000, 0.225), Nd at (0.098, 0.500, 0.955), Nd at (0.142, 0.000, 0.702), Nd at (0.184, 0.500, 0.462), In at (0.000, 0.500, 0.500) and Ag at (0.224, 0.000, 0.118).

---

Entry 15:
Material: Nd3In3Ag2
Method: DFT, PBE
State: relaxed

Its distance to the lowest polymorph of the same formula is 0.34 kcal/mol of atoms.

The space group is C2/m (No. 12) and the conventional cell measures 18.385, 4.693 and 5.008 Å, with angles of 90.00, 105.73 and 90.00 degrees. The distinct sites, in fractional coordinates, are Nd at (0.000, 0.000, 0.000), Nd at (0.141, 0.000, 0.641), In at (0.000, 0.500, 0.500), In at (0.143, 0.500, 0.143) and Ag at (0.244, 0.000, 0.243).

---

Entry 16:
Material: Nd4InAg2
Method: DFT, PBE
State: relaxed

Its distance to the lowest polymorph of the same formula is 2.42 kcal/mol of atoms.

The space group is R-3m (No. 166, hexagonal axes) and the conventional cell measures 5.2068, 5.2068 and 28.2136 Å, with angles of 90.00, 90.00 and 120.00 degrees. The distinct sites, in fractional coordinates, are Nd at (0.0000, 0.0000, 0.1219), Nd at (0.0000, 0.0000, 0.2914), In at (0.0000, 0.0000, 0.5000) and Ag at (0.0000, 0.0000, 0.3995).

---

Entry 17:
Material: Nd6InAg
Method: DFT, PBE
State: relaxed

Its distance to the lowest polymorph of the same formula is 0.00 kcal/mol of atoms.

The space group is I4/mmm (No. 139) and the conventional cell measures 5.248, 5.248 and 18.412 Å, with angles of 90.00, 90.00 and 90.00 degrees. The distinct sites, in fractional coordinates, are Nd at (0.000, 0.000, 0.249), Nd at (0.000, 0.500, 0.110), In at (0.000, 0.000, 0.000) and Ag at (0.000, 0.000, 0.500).

---

Entry 18:
Material: Nd3InAg
Method: DFT, PBE
State: relaxed

Its distance to the lowest polymorph of the same formula is 0.00 kcal/mol of atoms.

The space group is Cmcm (No. 63) and the conventional cell measures 5.393, 20.353 and 5.391 Å, with angles of 90.00, 90.00 and 90.00 degrees. The distinct sites, in fractional coordinates, are Nd at (0.000, 0.059, 0.250), Nd at (0.000, 0.248, 0.250), Nd at (0.000, 0.436, 0.250), In at (0.000, 0.154, 0.750) and Ag at (0.000, 0.347, 0.750).

---

Entry 19:
Material: NdIn3Ag
Method: DFT, PBE
State: relaxed

For the calculated total energy, the calculation gives -3.442 eV/atom.

The space group is C2/m (No. 12) and the conventional cell measures 14.830, 4.936 and 7.139 Å, with angles of 90.00, 104.58 and 90.00 degrees. The distinct sites, in fractional coordinates, are Nd at (0.126, 0.000, 0.458), In at (0.083, 0.000, 0.912), In at (0.161, 0.500, 0.182), In at (0.212, 0.500, 0.779) and Ag at (0.015, 0.500, 0.702).

---

Entry 20:
Material: Nd6In3Ag
Method: DFT, PBE
State: relaxed

For the calculated total energy, the calculation gives -4.229 eV/atom.

The space group is Pnnm (No. 58) and the conventional cell measures 9.462, 12.192 and 5.405 Å, with angles of 90.00, 90.00 and 90.00 degrees. The distinct sites, in fractional coordinates, are Nd at (0.002, 0.245, 0.000), Nd at (0.167, 0.088, 0.500), Nd at (0.169, 0.414, 0.500), In at (0.000, 0.500, 0.000), In at (0.166, 0.741, 0.500) and Ag at (0.000, 0.000, 0.000).